(1)
! PBE-GGA Cs2KTl2, optimized geometry; values from VASP
! Uncorrected energy   -1.5536 eV/atom
! Excess energy over the best structure of this formula in the dataset   0.000 eV/atom
! D(E_F)   2.56 states/eV/f.u.
! Density   4.4 Mg/m³
! Space group   Immm (71)
&SYSTEM
  ibrav = 0, nat = 5, ntyp = 3
/
ATOMIC_SPECIES
Cs 132.91 Cs.upf
K 39.10 K.upf
Tl 204.38 Tl.upf
ATOMIC_POSITIONS crystal
Cs 0.210 0.210 0.000
Cs 0.790 0.790 0.000
K 0.500 0.000 0.500
Tl 0.232 0.500 0.732
Tl 0.768 0.500 0.268
CELL_PARAMETERS angstrom
-3.245 3.271 6.375
3.245 -3.271 6.375
3.245 3.271 -6.375



(2)
! PBE-GGA RbAcH3, optimized geometry; values from VASP
! Uncorrected energy   -3.2411 eV/atom
! D(E_F)   0.82 states/eV/f.u.
! Density   4.5 Mg/m³
! Space group   Pm-3m (221)
&SYSTEM
  ibrav = 0, nat = 5, ntyp = 3
/
ATOMIC_SPECIES
Rb 85.47 Rb.upf
Ac 227.00 Ac.upf
H 1.01 H.upf
ATOMIC_POSITIONS crystal
Rb 0.000 0.000 0.000
Ac 0.500 0.500 0.500
H 0.000 0.500 0.500
H 0.500 0.000 0.500
H 0.500 0.500 0.000
CELL_PARAMETERS angstrom
4.876 0.000 0.000
0.000 4.876 0.000
0.000 0.000 4.876



(3)
! PBE-GGA LiY2GaN, optimized geometry; values from VASP
! Uncorrected energy   -6.0802 eV/atom
! D(E_F)   3.07 states/eV/f.u.
! Density   4.7 Mg/m³
! Space group   P4/mmm (123)
&SYSTEM
  ibrav = 0, nat = 5, ntyp = 4
/
ATOMIC_SPECIES
Li 6.94 Li.upf
Y 88.91 Y.upf
Ga 69.72 Ga.upf
N 14.01 N.upf
ATOMIC_POSITIONS crystal
Li 0.000 0.000 0.000
Y 0.000 0.500 0.500
Y 0.500 0.000 0.500
Ga 0.500 0.500 0.000
N 0.000 0.000 0.500
CELL_PARAMETERS angstrom
4.787 0.000 0.000
0.000 4.787 0.000
0.000 0.000 4.104



(4)
! PBE-GGA SmTm7Hg4, optimized geometry; values from VASP
! Uncorrected energy   -3.1892 eV/atom
! D(E_F)   11.62 states/eV/f.u.
! Density   10.7 Mg/m³
! Space group   C2/m (12)
&SYSTEM
  ibrav = 0, nat = 12, ntyp = 3
/
ATOMIC_SPECIES
Sm 150.36 Sm.upf
Tm 168.93 Tm.upf
Hg 200.59 Hg.upf
ATOMIC_POSITIONS crystal
Sm 0.000 0.000 0.000
Tm 0.067 0.067 0.407
Tm 0.208 0.208 0.883
Tm 0.268 0.268 0.316
Tm 0.500 0.500 0.000
Tm 0.732 0.732 0.684
Tm 0.792 0.792 0.117
Tm 0.933 0.933 0.593
Hg 0.311 0.311 0.663
Hg 0.453 0.453 0.275
Hg 0.547 0.547 0.725
Hg 0.689 0.689 0.337
CELL_PARAMETERS angstrom
7.236 -2.814 0.000
7.236 2.814 0.000
-5.112 0.000 8.149



(5)
! PBE-GGA Cs2SiI6O, optimized geometry; values from VASP
! Uncorrected energy   -2.6672 eV/atom
! D(E_F)   3.68 states/eV/f.u.
! Density   4.7 Mg/m³
! Space group   I4/mmm (139)
&SYSTEM
  ibrav = 0, nat = 10, ntyp = 4
/
ATOMIC_SPECIES
Cs 132.91 Cs.upf
Si 28.09 Si.upf
I 126.90 I.upf
O 16.00 O.upf
ATOMIC_POSITIONS crystal
Cs 0.250 0.750 0.500
Cs 0.750 0.250 0.500
Si 0.000 0.000 0.000
I 0.208 0.208 0.000
I 0.263 0.263 0.525
I 0.263 0.737 0.000
I 0.737 0.263 0.000
I 0.737 0.737 0.475
I 0.792 0.792 0.000
O 0.500 0.500 0.000
CELL_PARAMETERS angstrom
-3.732 3.732 6.847
3.732 -3.732 6.847
3.732 3.732 -6.847



(6)
! PBE-GGA NiPt2Br, optimized geometry; values from VASP
! Uncorrected energy   -4.2419 eV/atom
! Excess energy over the best structure of this formula in the dataset   0.353 eV/atom
! D(E_F)   5.57 states/eV/f.u.
! Density   13.7 Mg/m³
! Space group   Cmmm (65)
&SYSTEM
  ibrav = 0, nat = 4, ntyp = 3
/
ATOMIC_SPECIES
Ni 58.69 Ni.upf
Pt 195.08 Pt.upf
Br 79.90 Br.upf
ATOMIC_POSITIONS crystal
Ni 0.000 0.000 0.000
Pt 0.000 0.500 0.500
Pt 0.500 0.000 0.500
Br 0.500 0.500 0.000
CELL_PARAMETERS angstrom
2.823 -3.938 0.000
2.823 3.938 0.000
0.000 0.000 2.882



(7)
! PBE-GGA Al2TcTe2, optimized geometry; values from VASP
! Uncorrected energy   -4.3355 eV/atom
! Excess energy over the best structure of this formula in the dataset   0.069 eV/atom
! D(E_F)   4.14 states/eV/f.u.
! Density   5.9 Mg/m³
! Space group   P4/mbm (127)
&SYSTEM
  ibrav = 0, nat = 10, ntyp = 3
/
ATOMIC_SPECIES
Al 26.98 Al.upf
Tc 98.00 Tc.upf
Te 127.60 Te.upf
ATOMIC_POSITIONS crystal
Al 0.130 0.370 0.000
Al 0.370 0.870 0.000
Al 0.630 0.130 0.000
Al 0.870 0.630 0.000
Tc 0.000 0.000 0.500
Tc 0.500 0.500 0.500
Te 0.186 0.686 0.500
Te 0.314 0.186 0.500
Te 0.686 0.814 0.500
Te 0.814 0.314 0.500
CELL_PARAMETERS angstrom
7.428 0.000 0.000
0.000 7.428 0.000
0.000 0.000 4.126



(8)
! PBE-GGA AgGe2Sb, optimized geometry; values from VASP
! Uncorrected energy   -3.7766 eV/atom
! D(E_F)   1.18 states/eV/f.u.
! Density   5.5 Mg/m³
! Space group   I-42d (122)
&SYSTEM
  ibrav = 0, nat = 8, ntyp = 3
/
ATOMIC_SPECIES
Ag 107.87 Ag.upf
Ge 72.64 Ge.upf
Sb 121.76 Sb.upf
ATOMIC_POSITIONS crystal
Ag 0.000 0.000 0.000
Ag 0.750 0.250 0.500
Ge 0.104 0.625 0.979
Ge 0.375 0.354 0.479
Ge 0.646 0.125 0.021
Ge 0.875 0.896 0.521
Sb 0.250 0.750 0.500
Sb 0.500 0.500 0.000
CELL_PARAMETERS angstrom
-3.117 3.117 5.809
3.117 -3.117 5.809
3.117 3.117 -5.809



(9)
! PBE-GGA K2SrAg2Br7, optimized geometry; values from VASP
! Uncorrected energy   -2.9181 eV/atom
! D(E_F)   4.87 states/eV/f.u.
! Density   3.9 Mg/m³
! Space group   C2/m (12)
&SYSTEM
  ibrav = 0, nat = 12, ntyp = 4
/
ATOMIC_SPECIES
K 39.10 K.upf
Sr 87.62 Sr.upf
Ag 107.87 Ag.upf
Br 79.90 Br.upf
ATOMIC_POSITIONS crystal
K 0.139 0.139 0.359
K 0.861 0.861 0.641
Sr 0.000 0.000 0.000
Ag 0.399 0.399 0.797
Ag 0.601 0.601 0.203
Br 0.084 0.584 0.166
Br 0.286 0.286 0.599
Br 0.416 0.916 0.834
Br 0.500 0.500 0.000
Br 0.584 0.084 0.166
Br 0.714 0.714 0.401
Br 0.916 0.416 0.834
CELL_PARAMETERS angstrom
3.868 -3.811 0.000
3.868 3.811 0.000
-3.863 0.000 13.556



(10)
! PBE-GGA K3SnPb2S6, optimized geometry; values from VASP
! Uncorrected energy   -4.0338 eV/atom
! D(E_F)   6.74 states/eV/f.u.
! Density   4.3 Mg/m³
! Space group   C2/m (12)
&SYSTEM
  ibrav = 0, nat = 12, ntyp = 4
/
ATOMIC_SPECIES
K 39.10 K.upf
Sn 118.71 Sn.upf
Pb 207.20 Pb.upf
S 32.06 S.upf
ATOMIC_POSITIONS crystal
K 0.000 0.000 0.000
K 0.326 0.674 0.000
K 0.674 0.326 0.000
Sn 0.500 0.500 0.500
Pb 0.166 0.834 0.500
Pb 0.834 0.166 0.500
S 0.132 0.432 0.295
S 0.273 0.273 0.706
S 0.432 0.132 0.295
S 0.568 0.868 0.705
S 0.727 0.727 0.294
S 0.868 0.568 0.705
CELL_PARAMETERS angstrom
3.580 -6.199 0.000
3.580 6.199 0.000
-2.415 0.000 7.394